Record 1
Density functional theory data (PBE) for crystalline ZrHg2Mo at its relaxed geometry.

a b c (Å): 4.143 4.186 4.513
angles (deg): 90.00 90.00 90.00
Sites, in units of the cell vectors:
Zr: 0.000 0.500 0.500
Mo: 0.500 0.000 0.500
Hg: 0.500 0.500 0.000
Hg: 0.000 0.000 0.000

Values from the calculation:
- Final energy: -4.82 eV per atom
- Calculated volume: 19.561 Å³/atom
- Size of the total moment: 0.00 μB/f.u.
- SG: Pmmm, No. 47
- Formation enthalpy at 0 K: 0.18 eV/atom

Record 2
Density functional theory data (PBE) for crystalline Zr2HgMo at its relaxed geometry.

a b c (Å): 5.615 5.615 4.633
angles (deg): 65.60 65.60 38.17
Sites, in units of the cell vectors:
Mo: 0.257 0.257 0.243
Zr: 0.984 0.984 0.016
Zr: 0.748 0.748 0.752
Hg: 0.511 0.511 0.488

Values from the calculation:
- Final energy: -6.98 eV per atom
- Calculated volume: 20.299 Å³/atom
- Size of the total moment: 0.00 μB/f.u.
- SG: Imm2, No. 44
- Formation enthalpy at 0 K: 0.08 eV/atom

Record 3
Density functional theory data (PBE) for crystalline ZrHg2Mo at its relaxed geometry.

a b c (Å): 5.371 5.371 5.371
angles (deg): 134.20 134.30 66.69
Sites, in units of the cell vectors:
Hg: 0.500 0.500 0.000
Hg: 0.000 0.000 0.000
Mo: 0.750 0.250 0.500
Zr: 0.250 0.750 0.500

Values from the calculation:
- Final energy: -4.83 eV per atom
- Calculated volume: 19.558 Å³/atom
- Size of the total moment: 0.00 μB/f.u.
- SG: I4/mmm, No. 139
- Formation enthalpy at 0 K: 0.17 eV/atom

Record 4
Density functional theory data (PBE) for crystalline ZrHg2Mo at its relaxed geometry.

a b c (Å): 2.947 2.947 9.006
angles (deg): 90.00 90.00 90.02
Sites, in units of the cell vectors:
Mo: 0.500 0.500 0.250
Hg: 0.000 0.000 0.491
Hg: 0.000 0.000 0.009
Zr: 0.500 0.500 0.750

Values from the calculation:
- Final energy: -4.73 eV per atom
- Calculated volume: 19.550 Å³/atom
- Size of the total moment: 0.00 μB/f.u.
- SG: P4/mmm, No. 123
- Formation enthalpy at 0 K: 0.27 eV/atom

Record 5
Density functional theory data (PBE) for crystalline Zr2HgMo at its relaxed geometry.

a b c (Å): 2.987 2.987 9.687
angles (deg): 90.00 90.00 109.07
Sites, in units of the cell vectors:
Hg: 0.000 0.000 0.513
Zr: 0.500 0.500 0.251
Zr: 0.000 0.000 0.981
Mo: 0.500 0.500 0.755

Values from the calculation:
- Final energy: -6.85 eV per atom
- Calculated volume: 20.417 Å³/atom
- Size of the total moment: 0.00 μB/f.u.
- SG: Cmm2, No. 35
- Formation enthalpy at 0 K: 0.20 eV/atom

Record 6
Density functional theory data (PBE) for crystalline ZrHg2Mo at its relaxed geometry.

a b c (Å): 4.830 4.830 4.830
angles (deg): 60.00 60.00 60.00
Each line ends with the local moment (μB).
Sites, in units of the cell vectors:
Mo: 0.500 0.500 0.500  1.33
Zr: 0.000 0.000 0.000  -0.04
Hg: 0.750 0.750 0.750  0.01
Hg: 0.250 0.250 0.250  0.01

Values from the calculation:
- Final energy: -4.63 eV per atom
- Calculated volume: 19.921 Å³/atom
- Size of the total moment: 1.53 μB/f.u.
- SG: Fm-3m, No. 225
- Formation enthalpy at 0 K: 0.37 eV/atom

Record 7
Density functional theory data (PBE) for crystalline Zr2HgMo at its relaxed geometry.

a b c (Å): 4.157 4.157 10.472
angles (deg): 78.55 78.55 90.00
Sites, in units of the cell vectors:
Mo: 0.250 0.750 0.500
Mo: 0.500 0.500 0.000
Hg: 0.750 0.250 0.500
Hg: 0.000 0.000 0.000
Zr: 0.613 0.125 0.250
Zr: 0.875 0.863 0.750
Zr: 0.137 0.625 0.250
Zr: 0.375 0.387 0.750

Values from the calculation:
- Final energy: -6.42 eV per atom
- Calculated volume: 21.709 Å³/atom
- Size of the total moment: 0.00 μB/f.u.
- SG: I-42d, No. 122
- Formation enthalpy at 0 K: 0.64 eV/atom

Record 8
Density functional theory data (PBE) for crystalline ZrHgMo4 at its relaxed geometry.

a b c (Å): 5.353 5.353 5.353
angles (deg): 60.00 60.00 60.00
Sites, in units of the cell vectors:
Mo: 0.374 0.878 0.374
Mo: 0.374 0.374 0.374
Mo: 0.374 0.374 0.878
Mo: 0.878 0.374 0.374
Hg: 0.000 0.000 0.000
Zr: 0.750 0.750 0.750

Values from the calculation:
- Final energy: -8.48 eV per atom
- Calculated volume: 18.076 Å³/atom
- Size of the total moment: 0.00 μB/f.u.
- SG: F-43m, No. 216
- Formation enthalpy at 0 K: 0.21 eV/atom

- Which of these has the highest formation enthalpy at 0 K?
  number 7

- What is the final energy in the eighth record?
  -8.48 eV per atom

- Look up the formation enthalpy at 0 K of the first one.
  0.18 eV/atom

- Number 4 is which compound?
  ZrHg2Mo